Entry 1:
This record from the Alexandria database describes a relaxed structure of Rb2SnSeBr6. The functional is PBE.

Fermi-level density of states = 0.02 states/eV/atom
Space group = No. 139
Formation energy from raw total energies = -907.1 meV per atom

Cell: 7.7297 7.7297 8.5552 Å, 63.14 63.14 90.00°
Closest atoms and distances in Å follow each position.
Fractional coordinates of all 10 atoms:
Sn 0.0000 0.0000 0.0000  6 Br 2.84-2.86
Br 0.2594 0.7406 0.0000  1 Se 2.63, 1 Sn 2.84
Br 0.7406 0.2594 0.0000  1 Se 2.63, 1 Sn 2.84
Br 0.2594 0.2594 0.0000  1 Se 2.63, 1 Sn 2.84
Br 0.7829 0.7829 0.4342  1 Sn 2.86
Br 0.2171 0.2171 0.5658  1 Sn 2.86
Br 0.7406 0.7406 0.0000  1 Se 2.63, 1 Sn 2.84
Rb 0.2500 0.7500 0.5000  12 Br 3.89-4.28
Rb 0.7500 0.2500 0.5000  12 Br 3.89-4.28
Se 0.5000 0.5000 0.0000  4 Br 2.63


Entry 2:
This record from the Alexandria database describes a relaxed structure of TaTl2Pb. The functional is PBE.

Fermi-level density of states = 0.41 states/eV/atom
DFT formation energy = 0.539 eV per atom
Space group = No. 6

Cell: 5.1423 3.2614 6.1275 Å, 74.37 90.00 90.00°
Closest atoms and distances in Å follow each position.
Fractional coordinates of all 4 atoms:
Pb 0.0000 0.5418 0.5439  3 Tl 3.16-3.19, 4 Ta 3.24-3.25, 2 Pb 3.26
Tl 0.5000 0.2065 0.2135  3 Ta 3.07-3.27, 6 Tl 3.26-3.28
Tl 0.0000 0.8082 0.0084  2 Ta 3.04, 3 Pb 3.16-3.19, 6 Tl 3.26-3.28
Ta 0.5000 0.9434 0.7341  5 Tl 3.04-3.27, 4 Pb 3.24-3.25, 2 Ta 3.26


Entry 3:
This record from the Alexandria database describes a relaxed structure of YZr2Se. The functional is PBE.

Fermi-level density of states = 1.57 states/eV/atom
Space group = No. 216
Formation energy from raw total energies = -39.2 meV per atom

Cell: 5.0643 5.0643 5.0643 Å, 60.00 60.00 60.00°
Closest atoms and distances in Å follow each position.
Fractional coordinates of all 4 atoms:
Zr 0.0000 0.0000 0.0000  4 Zr 3.10, 4 Y 3.10
Zr 0.2500 0.2500 0.2500  4 Se 3.10, 4 Zr 3.10
Y 0.7500 0.7500 0.7500  4 Se 3.10, 4 Zr 3.10
Se 0.5000 0.5000 0.5000  4 Zr 3.10, 4 Y 3.10


Entry 4:
This record from the Alexandria database describes a relaxed structure of Mg2FeW. The functional is PBE.

Fermi-level density of states = 0.81 states/eV/atom
DFT formation energy = 0.439 eV per atom
Space group = No. 12

Cell: 5.4023 5.2430 2.6780 Å, 79.01 81.06 115.98°
Closest atoms and distances in Å follow each position.
Fractional coordinates of all 4 atoms:
Mg 0.0000 0.0000 0.0000  4 Mg 2.68-2.71, 2 Fe 2.82, 2 W 2.82
Mg 0.0000 0.5000 0.5000  4 Mg 2.68-2.71, 2 W 2.82, 2 Fe 2.82
Fe 0.5000 0.0000 0.5000  2 Fe 2.68, 2 W 2.71, 4 Mg 2.82
W 0.5000 0.5000 0.0000  2 W 2.68, 2 Fe 2.71, 4 Mg 2.82


Per-record total magnetic moment, μB/atom: 0.000 0.000 0.340 0.548